Computed, not measured: SrMo3Ir after structural relaxation at the PBE level of DFT.

Summary:
Density of states at the Fermi level ... 4.9 states/eV/cell
Spin magnetization ... 0.4665 μB/atom

```
data_SrMo3Ir
_chemical_formula_sum 'Sr1 Mo3 Ir1'
_symmetry_space_group_name_H-M 'P m -3 m'
_symmetry_Int_Tables_number 221
_symmetry_space_group_name_Hall '-P 4 2 3'
_cell_length_a 4.892
_cell_length_b 4.892
_cell_length_c 4.892
_cell_angle_alpha 90.00
_cell_angle_beta 90.00
_cell_angle_gamma 90.00
loop_
_atom_site_label
_atom_site_type_symbol
_atom_site_fract_x
_atom_site_fract_y
_atom_site_fract_z
_atom_site_occupancy
Sr1 Sr 0.000 0.000 0.000 1
Mo1 Mo 0.000 0.500 0.500 1
Ir1 Ir 0.500 0.500 0.500 1
```

Computed, not measured: SrMoIr2 after structural relaxation at the PBE level of DFT.

Summary:
Density of states at the Fermi level ... 14.2 states/eV/cell
Spin magnetization ... 0.0000 μB/atom

```
data_SrMoIr2
_chemical_formula_sum 'Sr3 Mo3 Ir6'
_symmetry_space_group_name_H-M 'R -3 m'
_symmetry_Int_Tables_number 166
_symmetry_space_group_name_Hall '-R 3 2"'
_cell_length_a 4.4152
_cell_length_b 4.4152
_cell_length_c 16.5944
_cell_angle_alpha 90.00
_cell_angle_beta 90.00
_cell_angle_gamma 120.00
loop_
_atom_site_label
_atom_site_type_symbol
_atom_site_fract_x
_atom_site_fract_y
_atom_site_fract_z
_atom_site_occupancy
Sr1 Sr 0.0000 0.0000 0.0000 1
Mo1 Mo 0.0000 0.0000 0.5000 1
Ir1 Ir 0.0000 0.0000 0.1941 1
```

Computed, not measured: SrMo3Ir after structural relaxation at the PBE level of DFT.

Summary:
Density of states at the Fermi level ... 6.5 states/eV/cell
Spin magnetization ... 0.0000 μB/atom

```
data_SrMo3Ir
_chemical_formula_sum 'Sr1 Mo3 Ir1'
_symmetry_space_group_name_H-M 'P m -3 m'
_symmetry_Int_Tables_number 221
_symmetry_space_group_name_Hall '-P 4 2 3'
_cell_length_a 4.622
_cell_length_b 4.622
_cell_length_c 4.622
_cell_angle_alpha 90.00
_cell_angle_beta 90.00
_cell_angle_gamma 90.00
loop_
_atom_site_label
_atom_site_type_symbol
_atom_site_fract_x
_atom_site_fract_y
_atom_site_fract_z
_atom_site_occupancy
Sr1 Sr 0.000 0.000 0.000 1
Mo1 Mo 0.000 0.000 0.500 1
Ir1 Ir 0.500 0.500 0.500 1
```

Computed, not measured: Sr2MoIr after structural relaxation at the PBE level of DFT.

Summary:
Density of states at the Fermi level ... 5.7 states/eV/cell
Spin magnetization ... 0.9819 μB/atom

```
data_Sr2MoIr
_chemical_formula_sum 'Sr4 Mo2 Ir2'
_symmetry_space_group_name_H-M 'I 4/m m m'
_symmetry_Int_Tables_number 139
_symmetry_space_group_name_Hall '-I 4 2'
_cell_length_a 4.932
_cell_length_b 4.932
_cell_length_c 8.360
_cell_angle_alpha 90.00
_cell_angle_beta 90.00
_cell_angle_gamma 90.00
loop_
_atom_site_label
_atom_site_type_symbol
_atom_site_fract_x
_atom_site_fract_y
_atom_site_fract_z
_atom_site_occupancy
Sr1 Sr 0.000 0.500 0.250 1
Mo1 Mo 0.000 0.000 0.000 1
Ir1 Ir 0.000 0.000 0.500 1
```

Computed, not measured: SrMo2Ir after structural relaxation at the PBE level of DFT.

Summary:
Density of states at the Fermi level ... 5.8 states/eV/cell
Spin magnetization ... 0.0000 μB/atom

```
data_SrMo2Ir
_chemical_formula_sum 'Sr2 Mo4 Ir2'
_symmetry_space_group_name_H-M 'I m m 2'
_symmetry_Int_Tables_number 44
_cell_length_a 3.087
_cell_length_b 5.208
_cell_length_c 9.618
_cell_angle_alpha 90.00
_cell_angle_beta 90.00
_cell_angle_gamma 90.00
loop_
_symmetry_equiv_pos_as_xyz
'x,y,z'
'-x,-y,z'
'-x,y,z'
'x,-y,z'
'x+1/2,y+1/2,z+1/2'
'-x+1/2,-y+1/2,z+1/2'
'-x+1/2,y+1/2,z+1/2'
'x+1/2,-y+1/2,z+1/2'
loop_
_atom_site_label
_atom_site_type_symbol
_atom_site_fract_x
_atom_site_fract_y
_atom_site_fract_z
_atom_site_occupancy
Sr1 Sr 0.000 0.000 0.000 1
Mo1 Mo 0.000 0.000 0.511 1
Mo2 Mo 0.000 0.500 0.215 1
Ir1 Ir 0.000 0.500 0.781 1
```

Computed, not measured: SrMoIr2 after structural relaxation at the PBE level of DFT.

Summary:
Density of states at the Fermi level ... 6.0 states/eV/cell
Spin magnetization ... 0.0000 μB/atom

```
data_SrMoIr2
_chemical_formula_sum 'Sr2 Mo2 Ir4'
_symmetry_space_group_name_H-M 'C m m m'
_symmetry_Int_Tables_number 65
_symmetry_space_group_name_Hall '-C 2 2'
_cell_length_a 6.418
_cell_length_b 7.692
_cell_length_c 2.911
_cell_angle_alpha 90.00
_cell_angle_beta 90.00
_cell_angle_gamma 90.00
loop_
_atom_site_label
_atom_site_type_symbol
_atom_site_fract_x
_atom_site_fract_y
_atom_site_fract_z
_atom_site_occupancy
Sr1 Sr 0.000 0.000 0.000 1
Mo1 Mo 0.000 0.500 0.000 1
Ir1 Ir 0.250 0.250 0.500 1
```

Computed, not measured: Sr2MoIr after structural relaxation at the PBE level of DFT.

Summary:
Density of states at the Fermi level ... 7.6 states/eV/cell
Spin magnetization ... 0.6143 μB/atom

```
data_Sr2MoIr
_chemical_formula_sum 'Sr4 Mo2 Ir2'
_symmetry_space_group_name_H-M 'I m m m'
_symmetry_Int_Tables_number 71
_symmetry_space_group_name_Hall '-I 2 2'
_cell_length_a 4.079
_cell_length_b 4.804
_cell_length_c 9.786
_cell_angle_alpha 90.00
_cell_angle_beta 90.00
_cell_angle_gamma 90.00
loop_
_atom_site_label
_atom_site_type_symbol
_atom_site_fract_x
_atom_site_fract_y
_atom_site_fract_z
_atom_site_occupancy
Sr1 Sr 0.000 0.000 0.225 1
Mo1 Mo 0.000 0.500 0.000 1
Ir1 Ir 0.000 0.500 0.500 1
```

Computed, not measured: SrMo2Ir after structural relaxation at the PBE level of DFT.

Summary:
Density of states at the Fermi level ... 4.7 states/eV/cell
Spin magnetization ... 0.0000 μB/atom

```
data_SrMo2Ir
_chemical_formula_sum 'Sr1 Mo2 Ir1'
_symmetry_space_group_name_H-M 'P 4/m m m'
_symmetry_Int_Tables_number 123
_symmetry_space_group_name_Hall '-P 4 2'
_cell_length_a 3.404
_cell_length_b 3.404
_cell_length_c 7.461
_cell_angle_alpha 90.00
_cell_angle_beta 90.00
_cell_angle_gamma 90.00
loop_
_atom_site_label
_atom_site_type_symbol
_atom_site_fract_x
_atom_site_fract_y
_atom_site_fract_z
_atom_site_occupancy
Sr1 Sr 0.000 0.000 0.000 1
Mo1 Mo 0.500 0.500 0.341 1
Ir1 Ir 0.000 0.000 0.500 1
```

Computed, not measured: SrMoIr2 after structural relaxation at the PBE level of DFT.

Summary:
Density of states at the Fermi level ... 6.5 states/eV/cell
Spin magnetization ... 0.0000 μB/atom

```
data_SrMoIr2
_chemical_formula_sum 'Sr2 Mo2 Ir4'
_symmetry_space_group_name_H-M 'C 1 m 1'
_symmetry_Int_Tables_number 8
_cell_length_a 9.752
_cell_length_b 2.912
_cell_length_c 5.660
_cell_angle_alpha 90.00
_cell_angle_beta 100.50
_cell_angle_gamma 90.00
loop_
_symmetry_equiv_pos_as_xyz
'x,y,z'
'x,-y,z'
'x+1/2,y+1/2,z'
'x+1/2,-y+1/2,z'
loop_
_atom_site_label
_atom_site_type_symbol
_atom_site_fract_x
_atom_site_fract_y
_atom_site_fract_z
_atom_site_occupancy
Sr1 Sr 0.000 0.000 0.000 1
Mo1 Mo 0.211 0.000 0.615 1
Ir1 Ir 0.264 0.500 0.270 1
Ir2 Ir 0.487 0.000 0.509 1
```

Computed, not measured: Sr2MoIr after structural relaxation at the PBE level of DFT.

Summary:
Density of states at the Fermi level ... 14.3 states/eV/cell
Spin magnetization ... 1.0039 μB/atom

```
data_Sr2MoIr
_chemical_formula_sum 'Sr8 Mo4 Ir4'
_symmetry_space_group_name_H-M 'F m -3 m'
_symmetry_Int_Tables_number 225
_symmetry_space_group_name_Hall '-F 4 2 3'
_cell_length_a 7.434
_cell_length_b 7.434
_cell_length_c 7.434
_cell_angle_alpha 90.00
_cell_angle_beta 90.00
_cell_angle_gamma 90.00
loop_
_atom_site_label
_atom_site_type_symbol
_atom_site_fract_x
_atom_site_fract_y
_atom_site_fract_z
_atom_site_occupancy
Sr1 Sr 0.250 0.250 0.250 1
Mo1 Mo 0.000 0.000 0.000 1
Ir1 Ir 0.000 0.000 0.500 1
```

Computed, not measured: SrMo2Ir after structural relaxation at the PBE level of DFT.

Summary:
Density of states at the Fermi level ... 4.4 states/eV/cell
Spin magnetization ... 0.0000 μB/atom

```
data_SrMo2Ir
_chemical_formula_sum 'Sr1 Mo2 Ir1'
_symmetry_space_group_name_H-M 'P 1 m 1'
_symmetry_Int_Tables_number 6
_cell_length_a 3.044
_cell_length_b 3.202
_cell_length_c 8.184
_cell_angle_alpha 90.00
_cell_angle_beta 94.59
_cell_angle_gamma 90.00
loop_
_symmetry_equiv_pos_as_xyz
'x,y,z'
'x,-y,z'
loop_
_atom_site_label
_atom_site_type_symbol
_atom_site_fract_x
_atom_site_fract_y
_atom_site_fract_z
_atom_site_occupancy
Sr1 Sr 0.000 0.000 0.000 1
Mo1 Mo 0.116 0.000 0.472 1
Mo2 Mo 0.495 0.500 0.669 1
Ir1 Ir 0.546 0.500 0.280 1
```

Computed, not measured: SrMo2Ir after structural relaxation at the PBE level of DFT.

Summary:
Density of states at the Fermi level ... 4.9 states/eV/cell
Spin magnetization ... 0.0000 μB/atom

```
data_SrMo2Ir
_chemical_formula_sum 'Sr1 Mo2 Ir1'
_symmetry_space_group_name_H-M 'P 4/m m m'
_symmetry_Int_Tables_number 123
_symmetry_space_group_name_Hall '-P 4 2'
_cell_length_a 3.929
_cell_length_b 3.929
_cell_length_c 4.930
_cell_angle_alpha 90.00
_cell_angle_beta 90.00
_cell_angle_gamma 90.00
loop_
_atom_site_label
_atom_site_type_symbol
_atom_site_fract_x
_atom_site_fract_y
_atom_site_fract_z
_atom_site_occupancy
Sr1 Sr 0.000 0.000 0.000 1
Mo1 Mo 0.000 0.500 0.500 1
Ir1 Ir 0.500 0.500 0.000 1
```

no.,DFT total energy (Ha/atom),volume (A^3/atom)
1,-0.2711,23.42
2,-0.2760,23.34
3,-0.2000,19.75
4,-0.1806,25.42
5,-0.2713,19.33
6,-0.2629,17.96
7,-0.1804,23.97
8,-0.2750,21.61
9,-0.2671,19.76
10,-0.1802,25.67
11,-0.2815,19.88
12,-0.2622,19.02